Entry 1:
Entry from Alexandria via LeMat-Bulk: a geometry-optimized ScBe2Sb structure (PBE).

CIF file:
```
data_ScBe2Sb
_cell_length_a 7.215
_cell_length_b 7.215
_cell_length_c 5.521
_cell_angle_alpha 90.00
_cell_angle_beta 90.00
_cell_angle_gamma 90.00
_symmetry_space_group_name_H-M 'I -4 2 d'
_symmetry_Int_Tables_number 122
_symmetry_space_group_name_Hall 'I -4 2bw'
loop_
_atom_site_label
_atom_site_type_symbol
_atom_site_fract_x
_atom_site_fract_y
_atom_site_fract_z
Sc1 Sc 0.000 0.000 0.000
Be1 Be 0.214 0.250 0.625
Sb1 Sb 0.000 0.000 0.500
```


Entry 2:
Entry from Alexandria via LeMat-Bulk: a geometry-optimized ScBe2Sb structure (PBE).

CIF file:
```
data_ScBe2Sb
_cell_length_a 3.440
_cell_length_b 3.440
_cell_length_c 5.628
_cell_angle_alpha 90.00
_cell_angle_beta 90.00
_cell_angle_gamma 90.00
_symmetry_space_group_name_H-M 'P 4/m m m'
_symmetry_Int_Tables_number 123
_symmetry_space_group_name_Hall '-P 4 2'
loop_
_atom_site_label
_atom_site_type_symbol
_atom_site_fract_x
_atom_site_fract_y
_atom_site_fract_z
Sc1 Sc 0.000 0.000 0.000
Be1 Be 0.500 0.500 0.277
Sb1 Sb 0.000 0.000 0.500
```


Number 1: final energy -4.22 eV per atom. Number 2: final energy -4.28 eV per atom.